# 1
## Y8GaGe3Te4 (PBE)

Data for an optimized crystal structure of Y8GaGe3Te4.

Lattice parameters (Å, degrees): 8.463 8.670 8.464 119.22 120.00 90.00
Element x y z (fractional)
Te 0.000 0.000 0.500
Te 0.000 0.000 0.000
Te 0.500 0.000 0.500
Te 0.500 0.000 0.000
Y 0.757 0.275 0.514
Y 0.739 0.725 0.982
Y 0.243 0.725 0.982
Y 0.243 0.725 0.486
Y 0.739 0.718 0.479
Y 0.261 0.282 0.521
Y 0.261 0.275 0.018
Y 0.757 0.275 0.018
Ge 0.500 0.500 0.500
Ge 0.500 0.500 0.000
Ge 0.000 0.500 0.500
Ga 0.000 0.500 0.000

## Properties
The calculation puts the density of states at the Fermi level at 6.24 states/eV/cell. The formation energy without anion corrections is -1.137 eV/atom. As for the total energy: -6.210 eV/atom. The value obtained for the size of the total moment is 0.00 μB/cell.


# 2
## MgReOs2 (PBE)

Data for an optimized crystal structure of MgReOs2.

Lattice parameters (Å, degrees): 4.800 4.800 4.839 80.13 80.13 33.45
Element x y z (fractional)
Re 0.250 0.250 0.250
Os 0.988 0.988 0.015
Os 0.512 0.512 0.485
Mg 0.750 0.750 0.750

## Properties
The calculation puts the density of states at the Fermi level at 4.09 states/eV/cell. For the formation energy, the calculation gives 0.279 eV/atom. As for the total energy: -8.847 eV/atom. The value obtained for the size of the total moment is 0.00 μB/cell.